*a*
# SrCdMo2

An optimized crystal structure of SrCdMo2 (PBE, Alexandria via LeMat-Bulk).

Lattice parameters (Å, degrees): 3.0266 3.0266 10.0311 90.00 90.00 111.37
Sites, in units of the cell vectors:
Mo  0.5000  0.5000  0.2092
Mo  0.0000  0.0000  0.0250
Sr  0.0000  0.0000  0.4853
Cd  0.5000  0.5000  0.7804

*b*
# SrCdMo2

An optimized crystal structure of SrCdMo2 (PBE, Alexandria via LeMat-Bulk).

Lattice parameters (Å, degrees): 5.8486 5.8486 2.7664 90.00 90.00 119.61
Sites, in units of the cell vectors:
Mo  0.5000  0.5000  0.0000
Mo  0.0000  0.0000  0.0000
Cd  0.0000  0.5000  0.5000
Sr  0.5000  0.0000  0.5000

*a* takes first place; second place is 0.394 eV/atom up.